Compound: NiGe2B
Source: OQMD via LeMat-Bulk
Functional: GGA-PBE
Structure: optimized geometry

space-group type: No. 216
total DFT energy (no corrections): -18.10 eV for the cell shown
calculated volume: 55 Å³ per cell
total magnetization: 0.005 Bohr magnetons per cell

Lattice parameters (Å, degrees): 4.262 4.262 4.262 60.00 60.00 60.00
Fractional positions:
B: 0.500 0.500 0.500
Ge: 0.000 0.000 0.000
Ge: 0.250 0.250 0.250
Ni: 0.750 0.750 0.750